1.
BaMo2Ir: relaxed, PBE.

Summary:
**Total magnetization**: 0.000 μB/atom
**DOS(E_F)**: 1.040 states/eV per atom
**Energy**: -6.98 eV/atom
**Volume**: 77 Å³ per cell
**E_form**: 1.132 eV per atom
**Relative energy among the computed polymorphs**: 0.636 eV/atom

a = 5.685 Å, b = 5.553 Å, c = 2.895 Å
α = 78.74°, β = 80.84°, γ = 116.02°
Fractional positions:
Ba1 0.500 0.500 0.000
Ir1 0.500 0.000 0.500
Mo1 0.000 0.000 0.000
Mo2 0.000 0.500 0.500

2.
BaMoIr3: relaxed, PBE.

Summary:
**Total magnetization**: 0.000 μB/atom
**DOS(E_F)**: 0.991 states/eV per atom
**Energy**: -7.14 eV/atom
**Volume**: 115 Å³ per cell
**E_form**: 0.724 eV per atom
**Relative energy among the computed polymorphs**: 0.000 eV/atom

a = 4.869 Å, b = 4.869 Å, c = 4.869 Å
α = 90.00°, β = 90.00°, γ = 90.00°
Fractional positions:
Mo1 0.000 0.000 0.000
Ir1 0.000 0.500 0.000
Ir2 0.000 0.000 0.500
Ir3 0.500 0.000 0.000
Ba1 0.500 0.500 0.500

3.
BaMo3Ir: relaxed, PBE.

Summary:
**Total magnetization**: 0.000 μB/atom
**DOS(E_F)**: 0.953 states/eV per atom
**Energy**: -5.31 eV/atom
**Volume**: 113 Å³ per cell
**E_form**: 3.341 eV per atom
**Relative energy among the computed polymorphs**: 2.050 eV/atom

a = 4.838 Å, b = 4.838 Å, c = 4.838 Å
α = 90.00°, β = 90.00°, γ = 90.00°
Fractional positions:
Mo1 0.000 0.500 0.000
Mo2 0.000 0.000 0.500
Mo3 0.500 0.000 0.000
Ir1 0.500 0.500 0.500
Ba1 0.000 0.000 0.000

4.
BaMo2Ir: relaxed, PBE.

Summary:
**Total magnetization**: 0.000 μB/atom
**DOS(E_F)**: 1.309 states/eV per atom
**Energy**: -6.81 eV/atom
**Volume**: 82 Å³ per cell
**E_form**: 1.304 eV per atom
**Relative energy among the computed polymorphs**: 0.808 eV/atom

a = 5.143 Å, b = 3.989 Å, c = 3.989 Å
α = 90.00°, β = 90.00°, γ = 90.00°
Fractional positions:
Ba1 0.500 0.500 0.000
Ir1 0.500 0.000 0.500
Mo1 0.000 0.000 0.000
Mo2 0.000 0.500 0.500

5.
BaMo2Ir: relaxed, PBE.

Summary:
**Total magnetization**: 0.000 μB/atom
**DOS(E_F)**: 1.640 states/eV per atom
**Energy**: -7.62 eV/atom
**Volume**: 103 Å³ per cell
**E_form**: 0.496 eV per atom
**Relative energy among the computed polymorphs**: 0.000 eV/atom

a = 4.532 Å, b = 4.532 Å, c = 6.577 Å
α = 71.92°, β = 71.92°, γ = 54.80°
Fractional positions:
Ba1 0.750 0.750 0.750
Ir1 0.250 0.250 0.250
Mo1 0.950 0.950 0.164
Mo2 0.550 0.550 0.336

6.
BaMo2Ir: relaxed, PBE.

Summary:
**Total magnetization**: 0.000 μB/atom
**DOS(E_F)**: 0.495 states/eV per atom
**Energy**: -7.06 eV/atom
**Volume**: 78 Å³ per cell
**E_form**: 1.053 eV per atom
**Relative energy among the computed polymorphs**: 0.557 eV/atom

a = 4.794 Å, b = 4.794 Å, c = 4.794 Å
α = 60.00°, β = 60.00°, γ = 60.00°
Fractional positions:
Ba1 0.500 0.500 0.500
Ir1 0.750 0.750 0.750
Mo1 0.000 0.000 0.000
Mo2 0.250 0.250 0.250

7.
BaMo2Ir: relaxed, PBE.

Summary:
**Total magnetization**: 0.000 μB/atom
**DOS(E_F)**: 1.087 states/eV per atom
**Energy**: -7.52 eV/atom
**Volume**: 95 Å³ per cell
**E_form**: 0.593 eV per atom
**Relative energy among the computed polymorphs**: 0.097 eV/atom

a = 4.947 Å, b = 4.947 Å, c = 6.664 Å
α = 77.08°, β = 77.08°, γ = 36.84°
Fractional positions:
Ba1 0.511 0.511 0.481
Ir1 0.276 0.276 0.149
Mo1 0.003 0.003 0.999
Mo2 0.709 0.709 0.871

8.
BaMo2Ir: relaxed, PBE.

Summary:
**Total magnetization**: 0.000 μB/atom
**DOS(E_F)**: 0.665 states/eV per atom
**Energy**: -7.29 eV/atom
**Volume**: 85 Å³ per cell
**E_form**: 0.817 eV per atom
**Relative energy among the computed polymorphs**: 0.321 eV/atom

a = 6.302 Å, b = 6.302 Å, c = 6.302 Å
α = 153.63°, β = 130.06°, γ = 57.35°
Fractional positions:
Ba1 0.750 0.250 0.500
Ir1 0.250 0.750 0.500
Mo1 0.044 0.044 0.000
Mo2 0.456 0.456 0.000

9.
BaMo2Ir: relaxed, PBE.

Summary:
**Total magnetization**: 0.000 μB/atom
**DOS(E_F)**: 1.001 states/eV per atom
**Energy**: -7.34 eV/atom
**Volume**: 83 Å³ per cell
**E_form**: 0.767 eV per atom
**Relative energy among the computed polymorphs**: 0.271 eV/atom

a = 9.805 Å, b = 9.805 Å, c = 9.805 Å
α = 18.50°, β = 18.50°, γ = 18.50°
Fractional positions:
Ba1 0.497 0.497 0.497
Ir1 0.734 0.734 0.734
Mo1 0.998 0.998 0.998
Mo2 0.270 0.270 0.270

10.
BaMo2Ir: relaxed, PBE.

Summary:
**Total magnetization**: 0.000 μB/atom
**DOS(E_F)**: 1.353 states/eV per atom
**Energy**: -6.85 eV/atom
**Volume**: 75 Å³ per cell
**E_form**: 1.260 eV per atom
**Relative energy among the computed polymorphs**: 0.764 eV/atom

a = 4.938 Å, b = 4.938 Å, c = 3.070 Å
α = 90.00°, β = 90.00°, γ = 90.00°
Fractional positions:
Ba1 0.500 0.000 0.500
Ir1 0.000 0.500 0.500
Mo1 0.000 0.000 0.000
Mo2 0.500 0.500 0.000

11.
BaMo3Ir: relaxed, PBE.

Summary:
**Total magnetization**: 0.529 μB/atom
**DOS(E_F)**: 1.266 states/eV per atom
**Energy**: -7.36 eV/atom
**Volume**: 121 Å³ per cell
**E_form**: 1.291 eV per atom
**Relative energy among the computed polymorphs**: 0.000 eV/atom

a = 4.939 Å, b = 4.939 Å, c = 4.939 Å
α = 90.00°, β = 90.00°, γ = 90.00°
Fractional positions:
Mo1 0.000 0.500 0.000
Mo2 0.000 0.000 0.500
Mo3 0.500 0.000 0.000
Ir1 0.000 0.000 0.000
Ba1 0.500 0.500 0.500

12.
BaMoIr3: relaxed, PBE.

Summary:
**Total magnetization**: 0.000 μB/atom
**DOS(E_F)**: 2.436 states/eV per atom
**Energy**: -4.58 eV/atom
**Volume**: 122 Å³ per cell
**E_form**: 3.287 eV per atom
**Relative energy among the computed polymorphs**: 2.563 eV/atom

a = 4.960 Å, b = 4.960 Å, c = 4.960 Å
α = 90.00°, β = 90.00°, γ = 90.00°
Fractional positions:
Mo1 0.500 0.500 0.500
Ir1 0.000 0.500 0.000
Ir2 0.000 0.000 0.500
Ir3 0.500 0.000 0.000
Ba1 0.000 0.000 0.000